1.
Here is crystalline Ir3Pt at its relaxed geometry from Alexandria via LeMat-Bulk. Energies are from GGA-PBE.

Computed properties:
**M_tot**: 0.00 μB/cell
**VASP energy**: -8.06 eV per atom
**Symmetry**: Pnma

Cell lengths 4.765, 9.025, 5.524 Å; angles 90.00, 90.00, 90.00 degrees
Fractional positions:
Ir 0.919 0.250 0.870
Ir 0.255 0.997 0.375
Ir 0.255 0.503 0.375
Ir 0.245 0.497 0.875
Ir 0.245 0.003 0.875
Ir 0.581 0.750 0.370
Ir 0.419 0.250 0.630
Ir 0.755 0.997 0.125
Ir 0.755 0.503 0.125
Ir 0.745 0.497 0.625
Ir 0.745 0.003 0.625
Ir 0.081 0.750 0.130
Pt 0.087 0.750 0.624
Pt 0.413 0.250 0.124
Pt 0.587 0.750 0.876
Pt 0.913 0.250 0.376

***

2.
Here is crystalline Ir8Pt at its relaxed geometry from Alexandria via LeMat-Bulk. Energies are from GGA-PBE.

Computed properties:
**M_tot**: 0.00 μB/cell
**VASP energy**: -8.53 eV per atom
**Symmetry**: I4/mmm

Cell lengths 6.146, 6.146, 8.248 Å; angles 47.86, 47.86, 84.29 degrees
Fractional positions:
Ir 0.000 0.000 0.336
Ir 0.000 0.000 0.664
Ir 0.336 0.664 0.000
Ir 0.330 0.670 0.330
Ir 0.330 0.670 0.670
Ir 0.664 0.336 0.000
Ir 0.670 0.330 0.330
Ir 0.670 0.330 0.670
Pt 0.000 0.000 0.000

***

3.
Here is crystalline IrPt at its relaxed geometry from Alexandria via LeMat-Bulk. Energies are from GGA-PBE.

Computed properties:
**M_tot**: 0.00 μB/cell
**VASP energy**: -6.95 eV per atom
**Symmetry**: P6_3/mmc

Cell lengths 3.899, 3.899, 5.360 Å; angles 90.00, 90.00, 120.00 degrees
Fractional positions:
Ir 0.000 0.000 0.000
Ir 0.000 0.000 0.500
Pt 0.333 0.667 0.250
Pt 0.667 0.333 0.750

***

4.
Here is crystalline Ir3Pt at its relaxed geometry from Alexandria via LeMat-Bulk. Energies are from GGA-PBE.

Computed properties:
**M_tot**: 0.00 μB/cell
**VASP energy**: -8.00 eV per atom
**Symmetry**: Pmmn

Cell lengths 4.525, 4.761, 5.529 Å; angles 90.00, 90.00, 90.00 degrees
Fractional positions:
Ir 0.500 0.669 0.000
Ir 0.000 0.836 0.254
Ir 0.500 0.164 0.246
Ir 0.000 0.331 0.500
Ir 0.000 0.836 0.746
Ir 0.500 0.164 0.754
Pt 0.000 0.336 0.000
Pt 0.500 0.664 0.500

***

5.
Here is crystalline IrPt at its relaxed geometry from Alexandria via LeMat-Bulk. Energies are from GGA-PBE.

Computed properties:
**M_tot**: 0.00 μB/cell
**VASP energy**: -7.31 eV per atom
**Symmetry**: Cm

Cell lengths 5.399, 5.399, 6.610 Å; angles 74.19, 74.19, 29.53 degrees
Fractional positions:
Ir 0.007 0.007 0.001
Ir 0.608 0.608 0.275
Ir 0.663 0.663 0.671
Pt 0.328 0.328 0.333
Pt 0.948 0.948 0.609
Pt 0.279 0.279 0.944

***

6.
Here is crystalline IrPt at its relaxed geometry from Alexandria via LeMat-Bulk. Energies are from GGA-PBE.

Computed properties:
**M_tot**: 0.00 μB/cell
**VASP energy**: -7.46 eV per atom
**Symmetry**: R-3m

Cell lengths 9.225, 9.225, 9.225 Å; angles 17.27, 17.27, 17.27 degrees
Fractional positions:
Ir 0.997 0.997 0.997
Ir 0.253 0.253 0.253
Pt 0.502 0.502 0.502
Pt 0.748 0.748 0.748

***

7.
Here is crystalline Ir2Pt at its relaxed geometry from Alexandria via LeMat-Bulk. Energies are from GGA-PBE.

Computed properties:
**M_tot**: 0.00 μB/cell
**E above lowest polymorph**: 1.340 eV/f.u.
**Symmetry**: P6_3/mmc

Cell lengths 5.154, 5.154, 8.332 Å; angles 90.00, 90.00, 120.00 degrees
Fractional positions:
Ir 0.000 0.000 0.000
Ir 0.000 0.000 0.500
Ir 0.171 0.342 0.750
Ir 0.171 0.829 0.750
Ir 0.342 0.171 0.250
Ir 0.658 0.829 0.750
Ir 0.829 0.171 0.250
Ir 0.829 0.658 0.250
Pt 0.333 0.667 0.077
Pt 0.333 0.667 0.423
Pt 0.667 0.333 0.577
Pt 0.667 0.333 0.923

***

8.
Here is crystalline IrPt8 at its relaxed geometry from Alexandria via LeMat-Bulk. Energies are from GGA-PBE.

Computed properties:
**M_tot**: 0.00 μB/cell
**E above lowest polymorph**: 0.046 eV/f.u.
**Symmetry**: I4/mmm

Cell lengths 2.724, 7.340, 7.340 Å; angles 88.03, 79.31, 79.31 degrees
Fractional positions:
Ir 0.000 0.000 0.000
Pt 0.665 0.000 0.670
Pt 0.335 0.000 0.330
Pt 0.000 0.333 0.667
Pt 0.335 0.330 0.000
Pt 0.667 0.333 0.333
Pt 0.665 0.670 0.000
Pt 0.000 0.667 0.333
Pt 0.333 0.667 0.667

***

9.
Here is crystalline Ir2Pt at its relaxed geometry from Alexandria via LeMat-Bulk. Energies are from GGA-PBE.

Computed properties:
**M_tot**: 0.00 μB/cell
**E above lowest polymorph**: 0.866 eV/f.u.
**Symmetry**: Imma

Cell lengths 2.730, 3.949, 18.165 Å; angles 90.00, 90.00, 90.00 degrees
Fractional positions:
Ir 0.000 0.250 0.045
Ir 0.000 0.250 0.191
Ir 0.000 0.750 0.809
Ir 0.000 0.750 0.955
Ir 0.500 0.250 0.309
Ir 0.500 0.250 0.455
Ir 0.500 0.750 0.545
Ir 0.500 0.750 0.691
Pt 0.000 0.250 0.619
Pt 0.000 0.750 0.381
Pt 0.500 0.250 0.881
Pt 0.500 0.750 0.119

***

10.
Here is crystalline IrPt at its relaxed geometry from Alexandria via LeMat-Bulk. Energies are from GGA-PBE.

Computed properties:
**M_tot**: 0.00 μB/cell
**VASP energy**: -7.39 eV per atom
**Symmetry**: I4_1/amd

Cell lengths 4.810, 4.810, 4.810 Å; angles 131.98, 131.98, 70.25 degrees
Fractional positions:
Ir 0.000 0.000 0.000
Ir 0.750 0.250 0.500
Pt 0.250 0.750 0.500
Pt 0.500 0.500 0.000

***

11.
Here is crystalline Ir3Pt at its relaxed geometry from Alexandria via LeMat-Bulk. Energies are from GGA-PBE.

Computed properties:
**M_tot**: 0.00 μB/cell
**VASP energy**: -8.13 eV per atom
**Symmetry**: R-3m

Cell lengths 9.109, 9.109, 9.109 Å; angles 17.43, 17.43, 17.43 degrees
Fractional positions:
Ir 0.998 0.998 0.998
Ir 0.250 0.250 0.250
Ir 0.502 0.502 0.502
Pt 0.750 0.750 0.750

***

12.
Here is crystalline IrPt at its relaxed geometry from Alexandria via LeMat-Bulk. Energies are from GGA-PBE.

Computed properties:
**M_tot**: 0.00 μB/cell
**VASP energy**: -7.11 eV per atom
**Symmetry**: P6_3/mmc

Cell lengths 4.324, 4.324, 8.119 Å; angles 90.00, 90.00, 120.00 degrees
Fractional positions:
Ir 0.000 0.000 0.750
Ir 0.000 0.000 0.250
Ir 0.333 0.667 0.250
Ir 0.667 0.333 0.750
Pt 0.333 0.667 0.917
Pt 0.667 0.333 0.417
Pt 0.667 0.333 0.083
Pt 0.333 0.667 0.583

***

13.
Here is crystalline Ir3Pt at its relaxed geometry from Alexandria via LeMat-Bulk. Energies are from GGA-PBE.

Computed properties:
**M_tot**: 0.00 μB/cell
**VASP energy**: -8.01 eV per atom
**Symmetry**: Pmm2

Cell lengths 2.765, 4.515, 4.766 Å; angles 90.00, 90.00, 90.00 degrees
Fractional positions:
Ir 0.000 0.000 0.998
Ir 0.500 0.000 0.504
Ir 0.500 0.500 0.834
Pt 0.000 0.500 0.331

***

14.
Here is crystalline IrPt at its relaxed geometry from Alexandria via LeMat-Bulk. Energies are from GGA-PBE.

Computed properties:
**M_tot**: 0.00 μB/cell
**VASP energy**: -6.31 eV per atom
**Symmetry**: P4_2/mnm

Cell lengths 6.782, 6.782, 4.112 Å; angles 90.00, 90.00, 90.00 degrees
Fractional positions:
Ir 0.321 0.679 0.000
Ir 0.821 0.821 0.500
Ir 0.179 0.179 0.500
Ir 0.679 0.321 0.000
Pt 0.317 0.317 0.000
Pt 0.817 0.183 0.500
Pt 0.183 0.817 0.500
Pt 0.683 0.683 0.000

***

15.
Here is crystalline IrPt at its relaxed geometry from Alexandria via LeMat-Bulk. Energies are from GGA-PBE.

Computed properties:
**M_tot**: 0.00 μB/cell
**VASP energy**: -7.26 eV per atom
**Symmetry**: I4/mmm

Cell lengths 8.139, 8.139, 3.893 Å; angles 90.00, 90.00, 90.00 degrees
Fractional positions:
Ir 0.337 0.337 0.000
Ir 0.337 0.663 0.000
Ir 0.663 0.337 0.000
Ir 0.663 0.663 0.000
Ir 0.837 0.837 0.500
Ir 0.837 0.163 0.500
Ir 0.163 0.837 0.500
Ir 0.163 0.163 0.500
Pt 0.318 0.000 0.000
Pt 0.682 0.000 0.000
Pt 0.000 0.682 0.000
Pt 0.000 0.318 0.000
Pt 0.818 0.500 0.500
Pt 0.182 0.500 0.500
Pt 0.500 0.182 0.500
Pt 0.500 0.818 0.500

***

16.
Here is crystalline Ir3Pt at its relaxed geometry from Alexandria via LeMat-Bulk. Energies are from GGA-PBE.

Computed properties:
**M_tot**: 1.20 μB/cell
**VASP energy**: -7.60 eV per atom
**Symmetry**: R-3m

Cell lengths 5.176, 5.176, 5.176 Å; angles 116.99, 116.99, 116.99 degrees
Fractional positions:
Ir 0.000 0.000 0.000
Ir 0.000 0.500 0.500
Ir 0.500 0.500 0.000
Pt 0.500 0.000 0.500

***

17.
Here is crystalline Ir3Pt at its relaxed geometry from Alexandria via LeMat-Bulk. Energies are from GGA-PBE.

Computed properties:
**M_tot**: 0.00 μB/cell
**VASP energy**: -8.08 eV per atom
**Symmetry**: Cmmm

Cell lengths 4.763, 4.763, 2.770 Å; angles 90.00, 90.00, 109.66 degrees
Fractional positions:
Ir 0.000 0.000 0.000
Ir 0.000 0.500 0.500
Ir 0.500 0.000 0.500
Pt 0.500 0.500 0.000

***

18.
Here is crystalline IrPt at its relaxed geometry from Alexandria via LeMat-Bulk. Energies are from GGA-PBE.

Computed properties:
**M_tot**: 0.00 μB/cell
**VASP energy**: -6.74 eV per atom
**Symmetry**: P6_3/mmc

Cell lengths 3.937, 3.937, 5.296 Å; angles 90.00, 90.00, 120.00 degrees
Fractional positions:
Ir 0.333 0.667 0.250
Ir 0.667 0.333 0.750
Pt 0.000 0.000 0.000
Pt 0.000 0.000 0.500

***

19.
Here is crystalline IrPt at its relaxed geometry from Alexandria via LeMat-Bulk. Energies are from GGA-PBE.

Computed properties:
**M_tot**: 0.00 μB/cell
**VASP energy**: -7.29 eV per atom
**Symmetry**: P-6m2

Cell lengths 2.778, 2.778, 4.541 Å; angles 90.00, 90.00, 120.00 degrees
Fractional positions:
Ir 0.000 0.000 0.500
Pt 0.667 0.333 0.000

***

20.
Here is crystalline IrPt at its relaxed geometry from Alexandria via LeMat-Bulk. Energies are from GGA-PBE.

Computed properties:
**M_tot**: 0.00 μB/cell
**VASP energy**: -6.60 eV per atom
**Symmetry**: I4/m

Cell lengths 9.360, 9.360, 4.046 Å; angles 90.00, 90.00, 90.00 degrees
Fractional positions:
Ir 0.287 0.816 0.000
Ir 0.713 0.184 0.000
Ir 0.184 0.287 0.000
Ir 0.816 0.713 0.000
Ir 0.787 0.316 0.500
Ir 0.213 0.684 0.500
Ir 0.684 0.787 0.500
Ir 0.316 0.213 0.500
Pt 0.470 0.291 0.000
Pt 0.530 0.709 0.000
Pt 0.709 0.470 0.000
Pt 0.291 0.530 0.000
Pt 0.970 0.791 0.500
Pt 0.030 0.209 0.500
Pt 0.209 0.970 0.500
Pt 0.791 0.030 0.500